# 1
DFT (PBE) results for Dy2HoGa2Ag2 after structural relaxation.

abc: 4.5950 4.5950 26.7510
angles: 90.00 90.00 120.00
Space group R-3m (No. 166, hexagonal axes)
Asymmetric unit:
Dy 0.0000 0.0000 0.1255 x6
Ho 0.0000 0.0000 0.0000 x3
Ga 0.0000 0.0000 0.2587 x6
Ag 0.0000 0.0000 0.3970 x6

Summary:
Theoretical density ... 8.61 g/cm³
Total magnetization ... 0.000 μB per atom
E_form ... -368 meV per atom
E_tot ... -4.017 eV per atom

# 2
DFT (PBE) results for AcPm7Ir2 after structural relaxation.

abc: 8.844 14.628 5.591
angles: 90.00 90.00 90.00
Space group Cmmm (No. 65)
Asymmetric unit:
Ac 0.000 0.000 0.000 x2
Pm 0.000 0.296 0.000 x4
Pm 0.000 0.500 0.500 x2
Pm 0.195 0.134 0.500 x8
Ir 0.000 0.295 0.500 x4

Summary:
Theoretical density ... 7.47 g/cm³
Total magnetization ... 0.000 μB per atom
E_form ... -158 meV per atom
E_tot ... -5.666 eV per atom

# 3
DFT (PBE) results for LiNbBr4 after structural relaxation.

abc: 6.373 7.859 8.026
angles: 62.46 86.81 86.59
Space group P-1 (No. 2)
Asymmetric unit:
Li 0.228 0.099 0.485 x2
Nb 0.299 0.602 0.498 x2
Br 0.085 0.475 0.299 x2
Br 0.101 0.948 0.286 x2
Br 0.406 0.262 0.751 x2
Br 0.408 0.755 0.707 x2

Summary:
Theoretical density ... 3.92 g/cm³
Total magnetization ... 0.169 μB per atom
E_tot ... -4.177 eV per atom
Offset from the most stable computed form ... 0.00 eV/f.u.

# 4
DFT (PBE) results for TaTl2Cu after structural relaxation.

abc: 3.1771 3.1771 29.3176
angles: 90.00 90.00 120.00
Space group R3m (No. 160, hexagonal axes)
Asymmetric unit:
Ta 0.0000 0.0000 0.0000 x3
Tl 0.0000 0.0000 0.2462 x3
Tl 0.0000 0.0000 0.4789 x3
Cu 0.0000 0.0000 0.7334 x3

Summary:
Theoretical density ... 12.70 g/cm³
Total magnetization ... 0.000 μB per atom
E_form ... 472 meV per atom
E_tot ... -4.698 eV per atom
Offset from the most stable computed form ... 0.17 eV/f.u.

# 5
DFT (PBE) results for La2Sm5Dy5 after structural relaxation.

abc: 15.345 5.107 11.446
angles: 90.00 116.62 90.00
Space group C2/m (No. 12)
Asymmetric unit:
La 0.165 0.000 0.000 x4
Sm 0.000 0.000 0.500 x2
Sm 0.084 0.000 0.254 x4
Sm 0.249 0.000 0.746 x4
Dy 0.000 0.500 0.000 x2
Dy 0.081 0.500 0.746 x4
Dy 0.167 0.500 0.501 x4

Summary:
Theoretical density ... 7.63 g/cm³
Total magnetization ... 0.000 μB per atom
E_form ... 21 meV per atom
E_tot ... -4.684 eV per atom

# 6
DFT (PBE) results for YIr2Cl after structural relaxation.

abc: 3.042 4.392 5.519
angles: 90.00 90.00 90.00
Space group Pmmm (No. 47)
Asymmetric unit:
Y 0.000 0.000 0.000 x1
Ir 0.000 0.500 0.500 x1
Ir 0.500 0.000 0.500 x1
Cl 0.500 0.500 0.000 x1

Summary:
Theoretical density ... 11.46 g/cm³
Total magnetization ... 0.158 μB per atom
E_tot ... -6.688 eV per atom
Offset from the most stable computed form ... 1.49 eV/f.u.

# 7
DFT (PBE) results for LiTl2In6 after structural relaxation.

abc: 9.3345 9.3345 3.2485
angles: 90.00 90.00 120.00
Space group P6/mmm (No. 191)
Asymmetric unit:
Li 0.0000 0.0000 0.0000 x1
Tl 0.3333 0.6667 0.0000 x2
In 0.0000 0.3272 0.5000 x6

Summary:
Theoretical density ... 7.48 g/cm³
Total magnetization ... 0.000 μB per atom
E_form ... -24 meV per atom
E_tot ... -2.588 eV per atom

# 8
DFT (PBE) results for Pr4CO4 after structural relaxation.

abc: 5.891 5.891 10.923
angles: 90.00 90.00 90.00
Space group I-42m (No. 121)
Asymmetric unit:
Pr 0.219 0.219 0.382 x8
C 0.000 0.000 0.500 x2
O 0.000 0.000 0.229 x4
O 0.000 0.500 0.000 x4

Summary:
Theoretical density ... 5.60 g/cm³
Total magnetization ... 0.000 μB per atom
E_tot ... -7.439 eV per atom

# 9
DFT (PBE) results for Zr2TlW after structural relaxation.

abc: 3.1248 3.1248 30.4036
angles: 90.00 90.00 120.00
Space group R3m (No. 160, hexagonal axes)
Asymmetric unit:
Zr 0.0000 0.0000 0.0000 x3
Zr 0.0000 0.0000 0.2483 x3
Tl 0.0000 0.0000 0.7542 x3
W 0.0000 0.0000 0.5011 x3

Summary:
Theoretical density ... 11.06 g/cm³
Total magnetization ... 0.000 μB per atom
E_form ... 463 meV per atom
E_tot ... -7.641 eV per atom
Offset from the most stable computed form ... 1.87 eV/f.u.

# 10
DFT (PBE) results for CrCoTc2 after structural relaxation.

abc: 2.635 4.079 4.929
angles: 90.00 103.83 90.00
Space group Pm (No. 6)
Asymmetric unit:
Cr 0.000 0.000 0.000 x1
Co 0.929 0.500 0.758 x1
Tc 0.332 0.000 0.525 x1
Tc 0.648 0.500 0.229 x1

Summary:
Theoretical density ... 9.91 g/cm³
Total magnetization ... 0.000 μB per atom
E_form ... 84 meV per atom
E_tot ... -9.281 eV per atom
Offset from the most stable computed form ... 0.09 eV/f.u.

# 11
DFT (PBE) results for Er8AlIn2 after structural relaxation.

abc: 17.497 5.126 6.992
angles: 90.00 100.85 90.00
Space group C2/m (No. 12)
Asymmetric unit:
Er 0.028 0.000 0.256 x4
Er 0.092 0.500 0.943 x4
Er 0.162 0.500 0.435 x4
Er 0.178 0.000 0.756 x4
Al 0.000 0.500 0.500 x2
In 0.206 0.000 0.208 x4

Summary:
Theoretical density ... 8.60 g/cm³
Total magnetization ... 0.000 μB per atom
E_form ... -205 meV per atom
E_tot ... -4.362 eV per atom

# 12
DFT (PBE) results for Re2Mo after structural relaxation.

abc: 2.784 2.784 11.998
angles: 90.00 90.00 90.00
Space group I4/mmm (No. 139)
Asymmetric unit:
Re 0.000 0.000 0.173 x4
Mo 0.000 0.000 0.500 x2

Summary:
Theoretical density ... 16.73 g/cm³
Total magnetization ... 0.000 μB per atom
E_form ... 115 meV per atom
E_tot ... -11.794 eV per atom
Offset from the most stable computed form ... 0.00 eV/f.u.